8
Lattice="5.184 0.000 0.000 0.000 5.184 0.000 0.000 0.000 5.184" Properties=species:S:1:pos:R:3 comment="PBE CePd6Au, relaxed" formation_enthalpy_0k_kj_per_mol_fu=-245.2 de_polymorph_mev_per_atom=174 final_energy_ev_per_cell=-42.91 volume_a3_per_cell=139 n_ef_per_ev_cell=3.50 spacegroup="No. 200" pbc="T T T"
Ce 0.000 0.000 0.000
Pd 0.000 1.313 2.592
Pd 0.000 3.872 2.592
Pd 1.313 2.592 0.000
Pd 2.592 0.000 1.313
Pd 2.592 0.000 3.872
Pd 3.872 2.592 0.000
Au 2.592 2.592 2.592